PBE NaZrTcW, optimized geometry; calculated total energy = -7.697 eV/atom; V = 70.2 Å³ per cell; space group = No. 216
1.0
-3.088 -3.366 -0.752
-3.279 0.545 -3.222
0.170 -2.464 -3.915
Na Tc W Zr
1 1 1 1
Direct
0.750 0.750 0.750
0.250 0.250 0.250
0.500 0.500 0.500
0.000 0.000 0.000